{
  "formula": "TlGe2Au6",
  "functional": "PBE",
  "state": "relaxed",
  "lattice_angstrom": [[3.912, 0.000, 0.000], [-1.956, 5.560, -0.009], [0.000, 1.440, 8.952]],
  "species": ["Au", "Tl", "Ge", "Au", "Au", "Au", "Au", "Au", "Ge"],
  "frac_coords": [[0.254, 0.508, 0.608], [0.000, 0.000, 0.500], [0.360, 0.719, 0.874], [0.746, 0.492, 0.392], [0.984, 0.969, 0.167], [0.300, 0.601, 0.164], [0.700, 0.399, 0.836], [0.016, 0.031, 0.833], [0.640, 0.281, 0.126]],
  "final_energy_ev_per_cell": -30.97,
  "e_form_ev_per_atom": 0.03,
  "spacegroup": "C2/m",
  "dos_ef_per_ev_fu": 3.1
}